No. 1
This record from OQMD describes GaPt8 after structural relaxation. The functional is PBE.

Summary:
- final energy (eV per cell) = -206.9
- crystal system = monoclinic

Unit cell a=8.732 b=3.856 c=31.259 alpha=90.00 beta=91.03 gamma=90.00
Space group C2/m (No. 12)
One atom of each set of equivalent atoms:
Ga: 0.054 0.000 0.242 (multiplicity 4)
Pt: 0.049 0.500 0.105 (multiplicity 4)
Pt: 0.050 0.000 0.956 (multiplicity 4)
Pt: 0.054 0.500 0.803 (multiplicity 4)
Pt: 0.150 0.500 0.015 (multiplicity 4)
Pt: 0.151 0.000 0.163 (multiplicity 4)
Pt: 0.151 0.000 0.867 (multiplicity 4)
Pt: 0.248 0.500 0.225 (multiplicity 4)
Pt: 0.250 0.000 0.074 (multiplicity 4)

No. 2
This record from OQMD describes LuTl2Ni after structural relaxation. The functional is PBE.

Summary:
- final energy (eV per cell) = -58.2
- crystal system = cubic

Unit cell a=7.053 b=7.053 c=7.053 alpha=90.00 beta=90.00 gamma=90.00
Space group F-43m (No. 216)
One atom of each set of equivalent atoms:
Lu: 0.000 0.000 0.000 (multiplicity 4)
Tl: 0.000 0.000 0.500 (multiplicity 4)
Tl: 0.250 0.250 0.750 (multiplicity 4)
Ni: 0.250 0.250 0.250 (multiplicity 4)

No. 3
This record from OQMD describes DyNb after structural relaxation. The functional is PBE.

Summary:
- final energy (eV per cell) = -38.8
- energy above the lowest structure with this stoichiometry (meV/atom) = 2038
- DFT formation energy (eV/atom) = 2.5015
- crystal system = cubic

Unit cell a=6.683 b=6.683 c=6.683 alpha=90.00 beta=90.00 gamma=90.00
Space group F-43m (No. 216)
One atom of each set of equivalent atoms:
Dy: 0.000 0.000 0.000 (multiplicity 4)
Nb: 0.250 0.250 0.750 (multiplicity 4)

No. 4
This record from OQMD describes CuBOs2 after structural relaxation. The functional is PBE.

Summary:
- final energy (eV per cell) = -117.4
- crystal system = cubic

Unit cell a=5.829 b=5.829 c=5.829 alpha=90.00 beta=90.00 gamma=90.00
Space group F-43m (No. 216)
One atom of each set of equivalent atoms:
Cu: 0.000 0.000 0.000 (multiplicity 4)
B: 0.250 0.250 0.750 (multiplicity 4)
Os: 0.000 0.000 0.500 (multiplicity 4)
Os: 0.250 0.250 0.250 (multiplicity 4)

No. 5
This record from OQMD describes Ho2TmAl2Cd4 after structural relaxation. The functional is PBE.

Summary:
- final energy (eV per cell) = -56.1
- crystal system = orthorhombic

Unit cell a=4.538 b=12.554 c=7.269 alpha=90.00 beta=90.00 gamma=90.00
Space group Amm2 (No. 38)
One atom of each set of equivalent atoms:
Ho: 0.000 0.215 0.000 (multiplicity 4)
Tm: 0.000 0.000 0.647 (multiplicity 2)
Al: 0.500 0.166 0.716 (multiplicity 4)
Cd: 0.000 0.000 0.217 (multiplicity 2)
Cd: 0.500 0.000 0.965 (multiplicity 2)
Cd: 0.500 0.126 0.342 (multiplicity 4)

No. 6
This record from OQMD describes CdGeSO after structural relaxation. The functional is PBE.

Summary:
- final energy (eV per cell) = -140.0
- energy above the lowest structure with this stoichiometry (meV/atom) = 49
- crystal system = orthorhombic

Unit cell a=6.234 b=8.128 c=11.780 alpha=90.00 beta=90.00 gamma=90.00
Space group Pbca (No. 61)
One atom of each set of equivalent atoms:
Cd: 0.111 0.198 0.071 (multiplicity 8)
Ge: 0.208 0.017 0.251 (multiplicity 8)
S: 0.240 0.070 0.447 (multiplicity 8)
O: 0.042 0.118 0.739 (multiplicity 8)

No. 7
This record from OQMD describes LaCdPt after structural relaxation. The functional is PBE.

Summary:
- final energy (eV per cell) = -56.8
- DFT formation energy (eV/atom) = -0.7780
- crystal system = cubic

Unit cell a=6.886 b=6.886 c=6.886 alpha=90.00 beta=90.00 gamma=90.00
Space group F-43m (No. 216)
One atom of each set of equivalent atoms:
La: 0.000 0.000 0.000 (multiplicity 4)
Cd: 0.000 0.000 0.500 (multiplicity 4)
Pt: 0.250 0.250 0.750 (multiplicity 4)

No. 8
This record from OQMD describes Ta2CoIrPb2 after structural relaxation. The functional is PBE.

Summary:
- final energy (eV per cell) = -187.9
- crystal system = monoclinic

Unit cell a=7.596 b=4.373 c=14.533 alpha=90.00 beta=99.83 gamma=90.00
Space group Pm (No. 6)
One atom of each set of equivalent atoms:
Ta: 0.000 0.000 0.000 (multiplicity 1)
Ta: 0.001 0.500 0.499 (multiplicity 1)
Ta: 0.248 0.500 0.248 (multiplicity 1)
Ta: 0.253 0.000 0.758 (multiplicity 1)
Ta: 0.495 0.500 0.001 (multiplicity 1)
Ta: 0.499 0.000 0.500 (multiplicity 1)
Ta: 0.747 0.000 0.249 (multiplicity 1)
Ta: 0.750 0.500 0.758 (multiplicity 1)
Co: 0.311 0.500 0.436 (multiplicity 1)
Co: 0.312 0.000 0.940 (multiplicity 1)
Co: 0.558 0.500 0.186 (multiplicity 1)
Co: 0.811 0.500 0.939 (multiplicity 1)
Ir: 0.061 0.000 0.186 (multiplicity 1)
Ir: 0.065 0.500 0.693 (multiplicity 1)
Ir: 0.562 0.000 0.693 (multiplicity 1)
Ir: 0.811 0.000 0.435 (multiplicity 1)
Pb: 0.127 0.500 0.886 (multiplicity 1)
Pb: 0.139 0.000 0.378 (multiplicity 1)
Pb: 0.372 0.500 0.618 (multiplicity 1)
Pb: 0.385 0.000 0.123 (multiplicity 1)
Pb: 0.608 0.500 0.369 (multiplicity 1)
Pb: 0.627 0.000 0.886 (multiplicity 1)
Pb: 0.857 0.500 0.120 (multiplicity 1)
Pb: 0.874 0.000 0.626 (multiplicity 1)